# FeAgOs2 PBE-GGA relaxed
data_FeAgOs2
_symmetry_space_group_name_H-M 'P m m m'
_symmetry_Int_Tables_number 47
_cell_length_a 2.692
_cell_length_b 3.645
_cell_length_c 5.966
_cell_angle_alpha 90.00
_cell_angle_beta 90.00
_cell_angle_gamma 90.00
loop_
_symmetry_equiv_pos_as_xyz
'x,y,z'
'-x,-y,-z'
'-x,-y,z'
'x,y,-z'
'x,-y,-z'
'-x,y,z'
'-x,y,-z'
'x,-y,z'
loop_
_atom_site_label
_atom_site_fract_x
_atom_site_fract_y
_atom_site_fract_z
Fe1 0.000 0.000 0.000
Ag1 0.000 0.000 0.500
Os1 0.500 0.500 0.208
# * formation energy: 0.59 eV/atom
# * E above lowest polymorph: 237 meV/atom